A plane-wave DFT calculation with PBE-GGA was carried out for a geometry-optimized CsTi2TlI8 structure.

Summary:
- Energy relative to the elements, uncorrected: -819 meV/atom
- Total energy: -3.44 eV/atom
- Space-group type: P-3 (147)
- Magnetization: 2.00 μB/f.u.

abc: 7.759 7.759 11.726
angles: 90.00 90.00 120.00
Last column: magnetic moment on the atom in μB.
Fractional coordinates of all 12 atoms:
1 Cs 0.000 0.000 0.000  0.00
2 Ti 0.667 0.333 0.233  0.92
3 Ti 0.333 0.667 0.767  0.92
4 Tl 0.000 0.000 0.500  0.01
5 I 0.333 0.667 0.992  -0.02
6 I 0.343 0.338 0.301  -0.02
7 I 0.662 0.005 0.301  -0.02
8 I 0.667 0.333 0.008  -0.02
9 I 0.338 0.995 0.699  -0.02
10 I 0.657 0.662 0.699  -0.02
11 I 0.005 0.343 0.699  -0.02
12 I 0.995 0.657 0.301  -0.02